VASP calculation (GGA-PBE) on a relaxed B3C2 crystal.

abc: 11.425 11.425 11.425
angles: 168.33 166.99 17.51
Atoms (fractional coordinates):
B  0.000  0.000  0.000
B  0.189  0.189  0.000
B  0.321  0.821  0.500
B  0.382  0.382  0.000
B  0.595  0.595  0.000
B  0.937  0.437  0.500
C  0.137  0.637  0.500
C  0.541  0.041  0.500
C  0.736  0.236  0.500
C  0.775  0.775  0.000

* symmetry: No. 44
* calculated formation energy: 0.4044 eV per atom
* M_tot: 0.0 μB per formula unit
* DFT total energy: -72.92 eV/cell

VASP calculation (GGA-PBE) on a relaxed B7C5 crystal.

abc: 7.280 7.280 4.643
angles: 106.51 106.51 20.48
Atoms (fractional coordinates):
B  0.000  0.000  0.000
B  0.138  0.138  0.185
B  0.327  0.327  0.006
B  0.448  0.448  0.183
B  0.514  0.514  0.569
B  0.772  0.772  0.176
B  0.934  0.934  0.604
C  0.167  0.167  0.551
C  0.280  0.280  0.648
C  0.628  0.628  0.671
C  0.654  0.654  0.019
C  0.819  0.819  0.536

* symmetry: No. 8
* calculated formation energy: 0.4933 eV per atom
* M_tot: 0.0 μB per formula unit
* DFT total energy: -86.94 eV/cell

VASP calculation (GGA-PBE) on a relaxed B7C5 crystal.

abc: 4.849 4.849 8.019
angles: 109.68 109.68 31.40
Atoms (fractional coordinates):
B  0.000  0.000  0.000
B  0.127  0.127  0.428
B  0.187  0.187  0.007
B  0.412  0.412  0.758
B  0.500  0.500  0.177
B  0.695  0.695  0.838
B  0.777  0.777  0.249
C  0.055  0.055  0.577
C  0.328  0.328  0.183
C  0.530  0.530  0.654
C  0.657  0.657  0.347
C  0.860  0.860  0.821

* symmetry: No. 8
* calculated formation energy: 0.3078 eV per atom
* M_tot: 0.0 μB per formula unit
* DFT total energy: -89.17 eV/cell

VASP calculation (GGA-PBE) on a relaxed BC crystal.

abc: 4.479 2.604 6.929
angles: 90.00 90.68 90.00
Atoms (fractional coordinates):
B  0.000  0.000  0.000
B  0.081  0.500  0.662
B  0.286  0.000  0.534
B  0.427  0.500  0.996
B  0.592  0.000  0.858
B  0.685  0.000  0.626
C  0.089  0.500  0.892
C  0.292  0.000  0.304
C  0.454  0.500  0.228
C  0.772  0.500  0.521
C  0.790  0.500  0.301
C  0.954  0.000  0.230

* symmetry: No. 6
* calculated formation energy: 0.4237 eV per atom
* M_tot: 0.0 μB per formula unit
* DFT total energy: -90.32 eV/cell

VASP calculation (GGA-PBE) on a relaxed BC crystal.

abc: 7.468 7.468 4.399
angles: 106.82 106.82 20.03
Atoms (fractional coordinates):
B  0.000  0.000  0.000
B  0.329  0.329  0.901
B  0.500  0.500  0.416
B  0.761  0.761  0.041
B  0.815  0.815  0.495
B  0.932  0.932  0.542
C  0.112  0.112  0.061
C  0.153  0.153  0.433
C  0.260  0.260  0.514
C  0.443  0.443  0.012
C  0.614  0.614  0.556
C  0.649  0.649  0.930

* symmetry: No. 8
* calculated formation energy: 0.4211 eV per atom
* M_tot: 0.0 μB per formula unit
* DFT total energy: -90.35 eV/cell

VASP calculation (GGA-PBE) on a relaxed B7C5 crystal.

abc: 2.298 2.644 13.385
angles: 90.00 90.00 90.00
Atoms (fractional coordinates):
B  0.000  0.000  0.000
B  0.000  0.000  0.318
B  0.000  0.000  0.643
B  0.500  0.000  0.537
B  0.500  0.000  0.895
B  0.500  0.500  0.160
B  0.500  0.500  0.799
C  0.000  0.500  0.067
C  0.000  0.500  0.396
C  0.000  0.500  0.710
C  0.500  0.000  0.229
C  0.500  0.500  0.461

* symmetry: No. 25
* calculated formation energy: 0.3992 eV per atom
* M_tot: 0.0 μB per formula unit
* DFT total energy: -88.07 eV/cell

VASP calculation (GGA-PBE) on a relaxed B7C5 crystal.

abc: 6.924 6.924 3.486
angles: 90.93 90.93 150.82
Atoms (fractional coordinates):
B  0.000  0.000  0.000
B  0.163  0.366  0.233
B  0.467  0.025  0.246
B  0.499  0.501  0.500
B  0.634  0.837  0.767
B  0.817  0.183  0.500
B  0.975  0.533  0.754
C  0.143  0.857  0.500
C  0.312  0.688  0.000
C  0.329  0.171  0.748
C  0.642  0.358  0.000
C  0.829  0.671  0.252

* symmetry: No. 5
* calculated formation energy: 0.3998 eV per atom
* M_tot: 0.0 μB per formula unit
* DFT total energy: -88.06 eV/cell

VASP calculation (GGA-PBE) on a relaxed BC crystal.

abc: 4.774 2.675 6.259
angles: 90.00 106.04 90.00
Atoms (fractional coordinates):
B  0.000  0.000  0.000
B  0.024  0.500  0.682
B  0.201  0.500  0.251
B  0.490  0.500  0.062
B  0.639  0.000  0.941
B  0.710  0.000  0.243
C  0.066  0.000  0.335
C  0.144  0.500  0.963
C  0.177  0.000  0.587
C  0.519  0.000  0.673
C  0.560  0.500  0.334
C  0.655  0.500  0.591

* symmetry: No. 6
* calculated formation energy: 0.3286 eV per atom
* M_tot: 0.0 μB per formula unit
* DFT total energy: -91.46 eV/cell

VASP calculation (GGA-PBE) on a relaxed B7C5 crystal.

abc: 4.976 2.697 6.220
angles: 90.00 110.82 90.00
Atoms (fractional coordinates):
B  0.000  0.000  0.000
B  0.033  0.000  0.734
B  0.157  0.500  0.605
B  0.308  0.500  0.382
B  0.410  0.000  0.028
B  0.661  0.000  0.655
B  0.796  0.000  0.407
C  0.410  0.000  0.296
C  0.512  0.500  0.694
C  0.549  0.500  0.955
C  0.883  0.500  0.081
C  0.929  0.500  0.338

* symmetry: No. 6
* calculated formation energy: 0.3212 eV per atom
* M_tot: 0.0 μB per formula unit
* DFT total energy: -89.01 eV/cell

VASP calculation (GGA-PBE) on a relaxed BC9 crystal.

abc: 9.462 9.462 9.462
angles: 164.71 164.71 21.69
Atoms (fractional coordinates):
B  0.000  0.000  0.000
C  0.058  0.558  0.500
C  0.202  0.202  0.000
C  0.250  0.750  0.500
C  0.396  0.396  0.000
C  0.442  0.942  0.500
C  0.604  0.604  0.000
C  0.654  0.154  0.500
C  0.798  0.798  0.000
C  0.846  0.346  0.500

* symmetry: No. 119
* calculated formation energy: 0.1826 eV per atom
* M_tot: 0.0 μB per formula unit
* DFT total energy: -87.87 eV/cell